1.
First-principles (PBE) data for CdHgBi after structural relaxation, as listed in Alexandria.

The structure belongs to space group Imm2 (No. 44); the cell edges are 4.361, 5.491 and 7.378 Å and the angles 90.00°, 90.00° and 90.00°. The inequivalent atoms are Cd at (0.000, 0.000, 0.000), Hg at (0.000, 0.500, 0.777) and Bi at (0.000, 0.500, 0.207).

The calculated volume comes out at 88.3 Å³/f.u. The calculation puts the theoretical density at 9.8 g cm⁻³. The relative energy among the computed polymorphs comes out at 0.0504 eV/atom. Its calculated formation energy is 0.0908 eV per atom.

2.
First-principles (PBE) data for GeIr3F after structural relaxation, as listed in Alexandria.

The structure belongs to space group Pm-3m (No. 221); the cell edges are 4.613, 4.613 and 4.613 Å and the angles 90.00°, 90.00° and 90.00°. The inequivalent atoms are Ge at (0.000, 0.000, 0.000), Ir at (0.000, 0.000, 0.500) and F at (0.500, 0.500, 0.500).

The calculated volume comes out at 98.2 Å³/f.u. The calculation puts the theoretical density at 11.3 g cm⁻³. The relative energy among the computed polymorphs comes out at 0.1238 eV/atom. The raw formation energy comes out at 1.42 eV/atom.

3.
First-principles (PBE) data for SrTeIr2 after structural relaxation, as listed in Alexandria.

The structure belongs to space group P4/mmm (No. 123); the cell edges are 4.465, 4.465 and 4.038 Å and the angles 90.00°, 90.00° and 90.00°. The inequivalent atoms are Sr at (0.000, 0.000, 0.000), Te at (0.500, 0.500, 0.000) and Ir at (0.000, 0.500, 0.500).

The calculated volume comes out at 80.5 Å³/f.u. The calculation puts the theoretical density at 12.4 g cm⁻³. The raw formation energy comes out at 0.20 eV/atom.

4.
First-principles (PBE) data for Er4CdCu2Ru after structural relaxation, as listed in Alexandria.

The structure belongs to space group R-3m (No. 166, hexagonal axes); the cell edges are 4.9518, 4.9518 and 24.1383 Å and the angles 90.00°, 90.00° and 120.00°. The inequivalent atoms are Er at (0.0000, 0.0000, 0.1166), Er at (0.0000, 0.0000, 0.3681), Cd at (0.0000, 0.0000, 0.5000), Cu at (0.0000, 0.0000, 0.2446) and Ru at (0.0000, 0.0000, 0.0000).

The calculated volume comes out at 170.9 Å³/f.u. The calculation puts the theoretical density at 9.8 g cm⁻³. Its calculated formation energy is -0.3305 eV per atom.

5.
First-principles (PBE) data for Ac3Zn4 after structural relaxation, as listed in Alexandria.

The structure belongs to space group P2_1/m (No. 11); the cell edges are 4.621, 14.167 and 6.317 Å and the angles 90.00°, 111.44° and 90.00°. The inequivalent atoms are Ac at (0.023, 0.250, 0.045), Ac at (0.266, 0.605, 0.532), Zn at (0.000, 0.000, 0.000), Zn at (0.317, 0.250, 0.632) and Zn at (0.443, 0.084, 0.885).

The calculated volume comes out at 192.5 Å³/f.u. The calculation puts the theoretical density at 8.1 g cm⁻³. Its calculated formation energy is -0.2235 eV per atom.

6.
First-principles (PBE) data for Hg2SbRu after structural relaxation, as listed in Alexandria.

The structure belongs to space group C2/m (No. 12); the cell edges are 5.524, 10.822 and 3.409 Å and the angles 90.00°, 123.61° and 90.00°. The inequivalent atoms are Hg at (0.250, 0.250, 0.000), Sb at (0.000, 0.000, 0.000) and Ru at (0.000, 0.500, 0.000).

The calculated volume comes out at 84.9 Å³/f.u. The calculation puts the theoretical density at 12.2 g cm⁻³. The raw formation energy comes out at 0.44 eV/atom.

Question: Number 6 is which compound?
Answer: Hg2SbRu

Question: Number 1 is which compound?
Answer: CdHgBi

Question: Which formula does entry 2 have?
Answer: GeIr3F

Question: Which of these has the highest theoretical density?
Answer: SrTeIr2